1.
A plane-wave DFT calculation with PBE was carried out for a relaxed ScBOF2 crystal.

## Properties
Polymorph energy (0 for the lowest one) ... 60 meV per atom
Uncorrected formation energy ... -1.649 eV per atom
VASP energy ... -5.991 eV/atom

a = 4.4041 Å, b = 4.4041 Å, c = 2.6755 Å
α = 90.00°, β = 90.00°, γ = 90.00°
Closest atoms and distances in Å follow each position.
Space group P4/mmm (No. 123)
One atom of each set of equivalent atoms:
1 Sc 0.0000 0.0000 0.0000  8 F 2.58, 2 Sc 2.68
2 B 0.5000 0.5000 0.5000  2 O 1.34
3 O 0.5000 0.5000 0.0000  2 B 1.34
4 F 0.0000 0.5000 0.5000  2 B 2.20

***

2.
A plane-wave DFT calculation with PBE was carried out for a relaxed YRh4Au crystal.

## Properties
VASP energy ... -6.831 eV/atom

a = 7.4330 Å, b = 7.4330 Å, c = 7.4330 Å
α = 90.00°, β = 90.00°, γ = 90.00°
Closest atoms and distances in Å follow each position.
Space group F-43m (No. 216)
One atom of each set of equivalent atoms:
1 Y 0.0000 0.0000 0.0000  12 Rh 3.08, 4 Au 3.22
2 Rh 0.1245 0.1245 0.6245  6 Rh 2.62-2.64
3 Au 0.2500 0.2500 0.2500  12 Rh 3.08, 4 Y 3.22